Compound: YAgPdO4
Source: Alexandria
Functional: PBE
Structure: optimized geometry

Structure (POSCAR):
```
YAgPdO4
1.0
-3.172 3.491 4.536
3.172 -3.491 4.536
3.172 3.491 -4.536
Y Ag Pd O
2 2 2 8
Direct
0.000 0.000 0.000 Y
0.500 0.000 0.500 Y
0.388 0.638 0.750 Ag
0.612 0.362 0.250 Ag
0.000 0.000 0.500 Pd
0.000 0.500 0.000 Pd
0.192 0.749 0.444 O
0.195 0.251 0.944 O
0.228 0.203 0.475 O
0.228 0.753 0.025 O
0.772 0.247 0.975 O
0.772 0.797 0.525 O
0.805 0.749 0.056 O
0.808 0.251 0.556 O
```

Results
formation energy from raw total energies: -1.374 eV per atom
volume: 200.93 Å³/cell
calculated density: 6.07 Mg/m³

Compound: Y3Ag3PdO8
Source: Alexandria
Functional: PBE
Structure: optimized geometry

Structure (POSCAR):
```
Y3Ag3PdO8
1.0
5.886 -3.399 0.000
5.886 3.399 0.000
-3.935 0.000 5.709
Y Ag Pd O
3 3 1 8
Direct
0.000 0.000 0.000 Y
0.000 0.500 0.000 Y
0.500 0.000 0.000 Y
0.000 0.500 0.500 Ag
0.500 0.000 0.500 Ag
0.500 0.500 0.500 Ag
0.500 0.500 0.000 Pd
0.228 0.228 0.183 O
0.263 0.715 0.192 O
0.285 0.285 0.808 O
0.285 0.737 0.808 O
0.715 0.263 0.192 O
0.715 0.715 0.192 O
0.737 0.285 0.808 O
0.772 0.772 0.817 O
```

Results
formation energy from raw total energies: -1.731 eV per atom
volume: 228.42 Å³/cell
calculated density: 6.00 Mg/m³

Compound: ZrAg2PdO
Source: Alexandria
Functional: PBE
Structure: optimized geometry

Structure (POSCAR):
```
ZrAg2PdO
1.0
5.429 0.000 0.000
0.000 5.429 0.000
0.000 0.000 3.903
Zr Ag Pd O
1 2 1 1
Direct
0.000 0.000 0.000 Zr
0.000 0.500 0.000 Ag
0.500 0.000 0.000 Ag
0.500 0.500 0.500 Pd
0.000 0.000 0.500 O
```

Results
formation energy from raw total energies: 0.003 eV per atom
volume: 115.04 Å³/cell
calculated density: 6.20 Mg/m³